No. 1
A plane-wave DFT calculation with PBE-GGA was carried out for V6BH3 after structural relaxation.

a b c (Å): 2.940 8.441 8.625
angles (deg): 119.73 90.00 90.00
Fractional coordinates of all 20 atoms:
V  0.750  0.459  0.607
V  0.250  0.541  0.393
V  0.750  0.940  0.090
V  0.250  0.060  0.910
V  0.750  0.363  0.048
V  0.250  0.637  0.952
V  0.750  0.712  0.236
V  0.250  0.288  0.764
V  0.750  0.099  0.465
V  0.250  0.901  0.535
V  0.750  0.783  0.713
V  0.250  0.217  0.287
B  0.750  0.080  0.733
B  0.250  0.920  0.267
H  0.750  0.461  0.833
H  0.250  0.539  0.167
H  0.750  0.719  0.463
H  0.250  0.281  0.537
H  0.750  0.166  0.105
H  0.250  0.834  0.895

Its size of the total moment is 0.000 μB per atom. For the total energy, the calculation gives -7.3283 eV/atom.

No. 2
A plane-wave DFT calculation with PBE-GGA was carried out for V2BH2 after structural relaxation.

a b c (Å): 4.857 4.857 4.496
angles (deg): 113.76 113.76 104.87
Fractional coordinates of all 10 atoms:
V  0.141  0.359  0.750
V  0.391  0.109  0.250
V  0.609  0.891  0.750
V  0.859  0.641  0.250
B  0.875  0.625  0.750
B  0.125  0.375  0.250
H  0.261  0.011  0.521
H  0.511  0.761  0.021
H  0.739  0.989  0.479
H  0.489  0.239  0.979

Its size of the total moment is 0.000 μB per atom. As for the relative energy among the computed polymorphs: 0.062 eV/atom.

No. 3
A plane-wave DFT calculation with PBE-GGA was carried out for V3BH after structural relaxation.

a b c (Å): 3.057 5.301 6.232
angles (deg): 93.06 90.03 106.71
Fractional coordinates of all 10 atoms:
V  0.458  0.414  0.724
V  0.855  0.209  0.079
V  0.729  0.959  0.647
V  0.542  0.586  0.276
V  0.271  0.041  0.353
V  0.145  0.791  0.921
B  0.081  0.662  0.556
B  0.919  0.338  0.444
H  0.882  0.263  0.807
H  0.118  0.737  0.193

Its size of the total moment is 0.000 μB per atom. As for the relative energy among the computed polymorphs: 0.000 eV/atom.

No. 4
A plane-wave DFT calculation with PBE-GGA was carried out for VB2H after structural relaxation.

a b c (Å): 3.239 3.239 6.089
angles (deg): 74.57 74.57 90.00
Fractional coordinates of all 8 atoms:
H  0.500  0.500  0.000
H  0.250  0.750  0.500
B  0.375  0.125  0.250
B  0.375  0.625  0.250
B  0.375  0.625  0.750
B  0.875  0.625  0.750
V  0.000  0.000  0.000
V  0.750  0.250  0.500

Its size of the total moment is 0.000 μB per atom. As for the relative energy among the computed polymorphs: 0.000 eV/atom.

No. 5
A plane-wave DFT calculation with PBE-GGA was carried out for VBH2 after structural relaxation.

a b c (Å): 3.097 3.097 5.736
angles (deg): 74.34 74.34 90.00
Fractional coordinates of all 8 atoms:
H  0.179  0.125  0.250
H  0.571  0.625  0.250
H  0.375  0.821  0.750
H  0.875  0.429  0.750
B  0.500  0.500  0.000
B  0.250  0.750  0.500
V  0.000  0.000  0.000
V  0.750  0.250  0.500

Its size of the total moment is 0.000 μB per atom. As for the relative energy among the computed polymorphs: 0.000 eV/atom.

No. 6
A plane-wave DFT calculation with PBE-GGA was carried out for VB2H after structural relaxation.

a b c (Å): 3.522 3.522 3.522
angles (deg): 60.00 60.00 60.00
Fractional coordinates of all 4 atoms:
H  0.000  0.000  0.000
B  0.250  0.250  0.250
B  0.750  0.750  0.750
V  0.500  0.500  0.500

Its size of the total moment is 0.000 μB per atom. As for the relative energy among the computed polymorphs: 0.773 eV/atom.

Repeat the first record exactly.
A plane-wave DFT calculation with PBE-GGA was carried out for V6BH3 after structural relaxation.

a b c (Å): 2.940 8.441 8.625
angles (deg): 119.73 90.00 90.00
Fractional coordinates of all 20 atoms:
V  0.750  0.459  0.607
V  0.250  0.541  0.393
V  0.750  0.940  0.090
V  0.250  0.060  0.910
V  0.750  0.363  0.048
V  0.250  0.637  0.952
V  0.750  0.712  0.236
V  0.250  0.288  0.764
V  0.750  0.099  0.465
V  0.250  0.901  0.535
V  0.750  0.783  0.713
V  0.250  0.217  0.287
B  0.750  0.080  0.733
B  0.250  0.920  0.267
H  0.750  0.461  0.833
H  0.250  0.539  0.167
H  0.750  0.719  0.463
H  0.250  0.281  0.537
H  0.750  0.166  0.105
H  0.250  0.834  0.895

Its size of the total moment is 0.000 μB per atom. For the total energy, the calculation gives -7.3283 eV/atom.

Q: Look up the size of the total moment of the third one.
A: 0.000 μB per atom